[1]
Crystalline Sr3AlIn2 at its relaxed geometry, computed with PBE.

Values from the calculation:
**Crystal system**: orthorhombic
**Mass density**: 4028 kg/m³
**ΔE_f**: -0.33 eV/atom

abc: 13.594 4.673 13.486
angles: 90.00 90.00 90.00
Space group Pnma (No. 62)
Symmetry-distinct sites (fractional):
Sr 0.052 0.250 0.125 (multiplicity 4)
Sr 0.119 0.750 0.563 (multiplicity 4)
Sr 0.210 0.250 0.799 (multiplicity 4)
Al 0.129 0.250 0.375 (multiplicity 4)
In 0.029 0.750 0.316 (multiplicity 4)
In 0.195 0.750 0.994 (multiplicity 4)

---

[2]
Crystalline SrAlIn2 at its relaxed geometry, computed with PBE.

Values from the calculation:
**Crystal system**: monoclinic
**Mass density**: 5076 kg/m³
**ΔE_f**: -0.13 eV/atom

abc: 3.626 4.793 6.573
angles: 90.00 99.73 90.00
Space group P2/m (No. 10)
Symmetry-distinct sites (fractional):
Sr 0.000 0.000 0.000 (multiplicity 1)
Al 0.500 0.000 0.500 (multiplicity 1)
In 0.353 0.500 0.716 (multiplicity 2)